Entry 1:
# CoB3Mo, optimized geometry, DFT GGA-PBE
data_CoB3Mo
_cell_length_a 3.121
_cell_length_b 17.776
_cell_length_c 3.049
_cell_angle_alpha 90.00
_cell_angle_beta 90.00
_cell_angle_gamma 90.00
_symmetry_space_group_name_H-M 'C m c m'
_symmetry_Int_Tables_number 63
_symmetry_space_group_name_Hall '-C 2c 2'
loop_
_atom_site_label
_atom_site_fract_x
_atom_site_fract_y
_atom_site_fract_z
Co1 0.000 0.205 0.250
B1 0.000 0.318 0.250
B2 0.000 0.371 0.750
B3 0.000 0.474 0.750
Mo1 0.000 0.074 0.750
# ΔE to the lowest computed polymorph, meV/atom: 0.0

=====

Entry 2:
Compound: CoB3Mo3
Source: Alexandria
Functional: GGA-PBE
Structure: optimized geometry

The structure in CIF format:
```
data_CoB3Mo3
_cell_length_a 3.168
_cell_length_b 8.486
_cell_length_c 10.800
_cell_angle_alpha 90.00
_cell_angle_beta 90.00
_cell_angle_gamma 90.00
_symmetry_space_group_name_H-M 'C m c m'
_symmetry_Int_Tables_number 63
_symmetry_space_group_name_Hall '-C 2c 2'
loop_
_atom_site_label
_atom_site_fract_x
_atom_site_fract_y
_atom_site_fract_z
Co1 0.000 0.000 0.000
B1 0.000 0.294 0.250
B2 0.000 0.415 0.103
Mo1 0.000 0.000 0.250
Mo2 0.000 0.288 0.608
```

=====

Entry 3:
Compound: CoBMo
Source: Alexandria
Functional: GGA-PBE
Structure: optimized geometry

The structure in CIF format:
```
data_CoBMo
_cell_length_a 9.991
_cell_length_b 3.207
_cell_length_c 5.824
_cell_angle_alpha 90.00
_cell_angle_beta 90.00
_cell_angle_gamma 90.00
_symmetry_space_group_name_H-M 'P m m a'
_symmetry_Int_Tables_number 51
loop_
_symmetry_equiv_pos_as_xyz
'x,y,z'
'-x,-y,-z'
'-x+1/2,-y,z'
'x+1/2,y,-z'
'x+1/2,-y,-z'
'-x+1/2,y,z'
'-x,y,-z'
'x,-y,z'
loop_
_atom_site_label
_atom_site_fract_x
_atom_site_fract_y
_atom_site_fract_z
Co1 0.124 0.000 0.065
Co2 0.250 0.000 0.708
B1 0.088 0.000 0.452
B2 0.250 0.500 0.948
Mo1 0.043 0.500 0.733
Mo2 0.250 0.500 0.360
```

=====

Entry 4:
Compound: CoBMo
Source: Alexandria
Functional: GGA-PBE
Structure: optimized geometry

The structure in CIF format:
```
data_CoBMo
_cell_length_a 2.624
_cell_length_b 2.624
_cell_length_c 9.118
_cell_angle_alpha 90.00
_cell_angle_beta 90.00
_cell_angle_gamma 90.00
_symmetry_space_group_name_H-M 'I 4 m m'
_symmetry_Int_Tables_number 107
_symmetry_space_group_name_Hall 'I 4 -2'
loop_
_atom_site_label
_atom_site_fract_x
_atom_site_fract_y
_atom_site_fract_z
Co1 0.000 0.000 0.000
B1 0.000 0.000 0.393
Mo1 0.000 0.000 0.714
```

=====

Entry 5:
Compound: CoBMo
Source: Alexandria
Functional: GGA-PBE
Structure: optimized geometry

The structure in CIF format:
```
data_CoBMo
_cell_length_a 5.742
_cell_length_b 3.247
_cell_length_c 6.617
_cell_angle_alpha 90.00
_cell_angle_beta 90.00
_cell_angle_gamma 90.00
_symmetry_space_group_name_H-M 'P n m a'
_symmetry_Int_Tables_number 62
loop_
_symmetry_equiv_pos_as_xyz
'x,y,z'
'-x,-y,-z'
'-x+1/2,-y,z+1/2'
'x+1/2,y,-z+1/2'
'x+1/2,-y+1/2,-z+1/2'
'-x+1/2,y+1/2,z+1/2'
'-x,y+1/2,-z'
'x,-y+1/2,z'
loop_
_atom_site_label
_atom_site_fract_x
_atom_site_fract_y
_atom_site_fract_z
Co1 0.143 0.250 0.057
B1 0.228 0.750 0.875
Mo1 0.028 0.250 0.674
```

=====

Entry 6:
Compound: CoBMo
Source: Alexandria
Functional: GGA-PBE
Structure: optimized geometry

The structure in CIF format:
```
data_CoBMo
_cell_length_a 5.967
_cell_length_b 4.291
_cell_length_c 5.164
_cell_angle_alpha 90.00
_cell_angle_beta 90.00
_cell_angle_gamma 90.00
_symmetry_space_group_name_H-M 'P n m a'
_symmetry_Int_Tables_number 62
loop_
_symmetry_equiv_pos_as_xyz
'x,y,z'
'-x,-y,-z'
'-x+1/2,-y,z+1/2'
'x+1/2,y,-z+1/2'
'x+1/2,-y+1/2,-z+1/2'
'-x+1/2,y+1/2,z+1/2'
'-x,y+1/2,-z'
'x,-y+1/2,z'
loop_
_atom_site_label
_atom_site_fract_x
_atom_site_fract_y
_atom_site_fract_z
Co1 0.022 0.250 0.124
B1 0.168 0.750 0.540
Mo1 0.160 0.250 0.641
```

=====

What did we get for calculated density? Answer: 7355; 8675; 8845; 8765; 8921; 8322 kg/m³, in the order shown.
What did we get for ΔH_f (0 K)? Answer: -0.360; -0.501; -0.341; -0.093; -0.443; -0.040 eV/atom, in the order shown.